1.
VASP calculation (PBE) on a relaxed K11InO2 crystal.

The calculation puts the volume at 50.3 A^3/atom. The calculation puts the theoretical density at 1.36 g/cm3. The uncorrected formation energy is -381 meV/atom.

The space group is Ibam (No. 72) and the conventional cell measures 13.771, 13.809 and 14.801 Å, with angles of 90.00, 90.00 and 90.00 degrees. The distinct sites, in fractional coordinates, are K at (0.000, 0.000, 0.000), K at (0.068, 0.253, 0.129), K at (0.209, 0.223, 0.500), K at (0.246, 0.443, 0.373), In at (0.000, 0.500, 0.250) and O at (0.156, 0.151, 0.000).

---

2.
VASP calculation (PBE) on a relaxed ReMo2PdBr crystal.

The calculation puts the volume at 18.8 A^3/atom. The calculation puts the theoretical density at 9.95 g/cm3. The uncorrected formation energy is 1794 meV/atom.

The space group is P4/mmm (No. 123) and the conventional cell measures 4.557, 4.557 and 4.534 Å, with angles of 90.00, 90.00 and 90.00 degrees. The distinct sites, in fractional coordinates, are Re at (0.000, 0.000, 0.000), Mo at (0.000, 0.500, 0.500), Pd at (0.500, 0.500, 0.000) and Br at (0.000, 0.000, 0.500).

---

| no. | spin magnetization (μB/f.u.) |
| --- | --- |
| 1 | 0.000 |
| 2 | 0.000 |